HfTePd: optimized geometry, PBE.

a b c (Å): 5.5329 5.5329 6.8199
angles (deg): 108.70 108.70 38.90
Positions (direct):
Hf 0.0342 0.0342 0.2670
Hf 0.9658 0.9658 0.7330
Te 0.3299 0.3299 0.3603
Te 0.6701 0.6701 0.6397
Pd 0.3643 0.3643 0.9796
Pd 0.6357 0.6357 0.0204

Calculated volume (A^3/atom): 20.55
Energy above the most stable polymorph in this dataset (meV/atom): 116
Uncorrected formation energy (eV/f.u.): -1.82